Record 1
An optimized crystal structure of La4ErTm3, computed with PBE.

## Properties
The value obtained for the density of states at the Fermi level is 26.41 states/eV per cell. The crystal system is orthorhombic. The calculation puts the formation energy at 27 kJ/mol of formula units. The space-group type is Pmmn.

CIF file:
```
data_La4ErTm3
_chemical_formula_sum 'La8 Er2 Tm6'
_cell_length_a 5.1274
_cell_length_b 10.2550
_cell_length_c 10.1974
_cell_angle_alpha 90.00
_cell_angle_beta 90.00
_cell_angle_gamma 90.00
_space_group_name_H-M_alt 'P 1'
_space_group_IT_number 1
_space_group_name_Hall 'P 1'
loop_
_atom_site_label
_atom_site_fract_x
_atom_site_fract_y
_atom_site_fract_z
_atom_site_occupancy
La1 0.2500 0.0001 0.1281 1
La2 0.2500 0.2500 0.8712 1
La3 0.2500 0.4999 0.1281 1
La4 0.2500 0.7500 0.8717 1
La5 0.7500 0.9999 0.8719 1
La6 0.7500 0.2500 0.1283 1
La7 0.7500 0.5001 0.8719 1
La8 0.7500 0.7500 0.1288 1
Er1 0.2500 0.2500 0.3853 1
Er2 0.7500 0.7500 0.6147 1
Tm1 0.2500 0.9999 0.6148 1
Tm2 0.2500 0.5001 0.6148 1
Tm3 0.2500 0.7500 0.3850 1
Tm4 0.7500 0.0001 0.3852 1
Tm5 0.7500 0.2500 0.6150 1
Tm6 0.7500 0.4999 0.3852 1
```



Record 2
An optimized crystal structure of La4ErTm, computed with PBE.

## Properties
The value obtained for the density of states at the Fermi level is 18.75 states/eV per cell. The crystal system is monoclinic. The calculation puts the formation energy at 33 kJ/mol of formula units. The space-group type is P2/c.

CIF file:
```
data_La4ErTm
_chemical_formula_sum 'La8 Er2 Tm2'
_cell_length_a 9.7185
_cell_length_b 6.1280
_cell_length_c 6.9577
_cell_angle_alpha 90.00
_cell_angle_beta 90.06
_cell_angle_gamma 90.00
_space_group_name_H-M_alt 'P 1'
_space_group_IT_number 1
_space_group_name_Hall 'P 1'
loop_
_atom_site_label
_atom_site_fract_x
_atom_site_fract_y
_atom_site_fract_z
_atom_site_occupancy
La1 0.1731 0.0637 0.4993 1
La2 0.1731 0.9363 0.9993 1
La3 0.3261 0.4374 0.0005 1
La4 0.3261 0.5626 0.5005 1
La5 0.6739 0.4374 0.4995 1
La6 0.6739 0.5626 0.9995 1
La7 0.8269 0.0637 0.0007 1
La8 0.8269 0.9363 0.5007 1
Er1 0.5000 0.0005 0.7500 1
Er2 0.5000 0.9995 0.2500 1
Tm1 0.0000 0.4993 0.7500 1
Tm2 0.0000 0.5007 0.2500 1
```